Computed, not measured: a geometry-optimized InSnHgBr4 structure at the PBE level of DFT.

Output
energy relative to the elements, uncorrected: -0.5440 eV/atom
total moment: 0.00 μB per atom

Lattice parameters (Å, degrees): 13.4279 9.5741 8.6718 90.00 103.14 90.00
Last column: nearest neighbours and their distance in Å.
Space group C2/m (No. 12)
Symmetry-distinct sites (fractional):
In: 0.1490 0.0000 0.3904 (multiplicity 4)  4 Br 2.76-2.93
Sn: 0.2448 0.5000 0.0394 (multiplicity 4)  3 Br 2.84-2.88, 1 Hg 3.03
Hg: 0.0471 0.5000 0.7884 (multiplicity 4)  1 Br 2.91, 1 Sn 3.03
Br: 0.0694 0.0000 0.7180 (multiplicity 4)  1 In 2.87, 1 Sn 2.88
Br: 0.1528 0.5000 0.4305 (multiplicity 4)  1 In 2.76, 1 Hg 2.91
Br: 0.1733 0.1965 0.1429 (multiplicity 8)  1 Sn 2.84, 1 In 2.93